This record from the Alexandria database describes a relaxed structure of Tl2AgPb. The functional is PBE.

```
Tl2AgPb
1.0
5.388 0.000 0.000
2.694 4.666 0.000
2.694 1.555 4.399
Ag Tl Pb
1 2 1
Direct
0.500 0.500 0.500
0.250 0.250 0.250
0.000 0.000 0.000
0.750 0.750 0.750
```

Size of the total moment = 0.000 μB per formula unit
Crystal system = cubic
Energy of formation from the pure elements = 0.1461 eV/atom